CaAc2Pb3 (GGA-PBE, relaxed); crystal system = tetragonal; formation energy = -0.494 eV/atom; ΔE to the lowest computed polymorph = 0.00 eV per formula unit
1.0
3.799 0.000 0.000
0.000 3.799 0.000
0.000 0.000 14.045
Ca Ac Pb
1 2 3
direct
0.500 0.500 0.500
0.500 0.500 0.827
0.500 0.500 0.173
0.000 0.000 0.000
0.000 0.000 0.656
0.000 0.000 0.344

---

Mn5Si2Ge (GGA-PBE, relaxed); formation energy (no corrections) = -253 meV/atom; crystal system = orthorhombic
1.0
3.498 -6.018 0.000
3.498 6.018 0.000
0.000 0.000 4.849
Mn Si Ge
10 4 2
direct
0.333 0.664 0.246
0.664 0.333 0.246
0.664 0.333 0.754
0.333 0.664 0.754
0.007 0.244 0.500
0.244 0.007 0.500
0.747 0.747 0.500
0.999 0.758 0.000
0.758 0.999 0.000
0.250 0.250 0.000
0.399 0.399 0.500
0.999 0.395 0.000
0.395 0.999 0.000
0.604 0.604 0.000
0.001 0.604 0.500
0.604 0.001 0.500

---

Ac5Tb4Pm (GGA-PBE, relaxed); crystal system = monoclinic; formation energy = 0.043 eV/atom
1.0
-1.057 -3.280 4.242
3.111 -9.941 -3.391
7.945 -6.064 0.811
Ac Tb Pm
5 4 1
direct
0.200 0.899 0.700
0.800 0.101 0.300
0.399 0.303 0.899
0.000 0.500 0.500
0.601 0.697 0.101
0.600 0.199 0.601
0.200 0.399 0.201
0.800 0.601 0.799
0.400 0.801 0.399
0.000 0.000 0.000

---

FeNiIr2 (GGA-PBE, relaxed); crystal system = tetragonal; formation energy = -0.041 eV/atom; ΔE to the lowest computed polymorph = 0.00 eV per formula unit
1.0
4.611 0.000 0.000
1.631 4.313 0.000
-3.121 -2.156 2.621
Ni Ir Fe
1 2 1
direct
0.500 0.500 0.000
0.000 0.000 0.000
0.250 0.750 0.500
0.750 0.250 0.500